The following is a PBE calculation of CdFe2TcC after structural relaxation, from the Alexandria database.

Structure (extended XYZ):
```
5
Lattice="3.9738 0.0000 0.0000 0.0000 3.9738 0.0000 0.0000 0.0000 4.0768" Properties=species:S:1:pos:R:3 pbc="T T T"
Cd 0.0000 0.0000 0.0000
Fe 0.0000 1.9869 2.0384
Fe 1.9869 0.0000 2.0384
Tc 1.9869 1.9869 0.0000
C 1.9869 1.9869 2.0384
```

Computed properties:
The calculation puts the electronic total energy at -0.53594 Ry per atom. For the calculated volume, the calculation gives 12.88 Å³/atom.